*A*
This record from the Alexandria database describes CeSm3Pt8 after structural relaxation. The functional is PBE-GGA.

Output
- M_tot: 0.77 μB/cell
- Volume: 235.6 Å³/f.u.

a = 5.495 Å, b = 5.495 Å, c = 9.009 Å
α = 90.00°, β = 90.00°, γ = 120.00°
Atoms (fractional coordinates):
Ce (0.000, 0.000, 0.000)
Sm (0.000, 0.000, 0.374)
Sm (0.667, 0.333, 0.503)
Sm (0.667, 0.333, 0.872)
Pt (0.165, 0.330, 0.688)
Pt (0.165, 0.835, 0.688)
Pt (0.333, 0.667, 0.436)
Pt (0.333, 0.667, 0.938)
Pt (0.502, 0.004, 0.187)
Pt (0.502, 0.498, 0.187)
Pt (0.670, 0.835, 0.688)
Pt (0.996, 0.498, 0.187)


*B*
This record from the Alexandria database describes CeSm3Pt8 after structural relaxation. The functional is PBE-GGA.

Output
- M_tot: 0.78 μB/cell
- Volume: 233.9 Å³/f.u.

a = 9.508 Å, b = 9.508 Å, c = 9.508 Å
α = 33.55°, β = 33.55°, γ = 33.55°
Atoms (fractional coordinates):
Ce (0.000, 0.000, 0.000)
Sm (0.374, 0.374, 0.374)
Sm (0.499, 0.499, 0.499)
Sm (0.874, 0.874, 0.874)
Pt (0.187, 0.187, 0.187)
Pt (0.437, 0.437, 0.937)
Pt (0.437, 0.937, 0.437)
Pt (0.437, 0.937, 0.937)
Pt (0.687, 0.687, 0.687)
Pt (0.937, 0.437, 0.437)
Pt (0.937, 0.437, 0.937)
Pt (0.937, 0.937, 0.437)


Stability, highest: *B*


*A*
This record from the Alexandria database describes CeSnPt4 after structural relaxation. The functional is PBE-GGA.

Output
- M_tot: 0.31 μB/cell
- Volume: 115.6 Å³/f.u.

a = 9.770 Å, b = 9.770 Å, c = 5.718 Å
α = 90.00°, β = 90.00°, γ = 154.93°
Atoms (fractional coordinates):
Ce (0.084, 0.916, 0.750)
Ce (0.916, 0.084, 0.250)
Sn (0.227, 0.773, 0.250)
Sn (0.773, 0.227, 0.750)
Pt (0.071, 0.929, 0.250)
Pt (0.345, 0.655, 0.511)
Pt (0.345, 0.655, 0.989)
Pt (0.500, 0.500, 0.000)
Pt (0.500, 0.500, 0.500)
Pt (0.655, 0.345, 0.011)
Pt (0.655, 0.345, 0.489)
Pt (0.929, 0.071, 0.750)


*B*
This record from the Alexandria database describes CeSnPt4 after structural relaxation. The functional is PBE-GGA.

Output
- M_tot: 0.29 μB/cell
- Volume: 113.8 Å³/f.u.

a = 5.440 Å, b = 5.440 Å, c = 5.440 Å
α = 60.00°, β = 60.00°, γ = 60.00°
Atoms (fractional coordinates):
Ce (0.000, 0.000, 0.000)
Sn (0.750, 0.750, 0.750)
Pt (0.375, 0.375, 0.375)
Pt (0.375, 0.375, 0.874)
Pt (0.375, 0.874, 0.375)
Pt (0.874, 0.375, 0.375)


Stability, highest: *A*


*A*
This record from the Alexandria database describes SrCePt2 after structural relaxation. The functional is PBE-GGA.

Output
- M_tot: 0.20 μB/cell
- Volume: 107.5 Å³/f.u.

a = 7.599 Å, b = 7.599 Å, c = 7.599 Å
α = 31.69°, β = 31.69°, γ = 31.69°
Atoms (fractional coordinates):
Sr (0.000, 0.000, 0.000)
Ce (0.500, 0.500, 0.500)
Pt (0.239, 0.239, 0.239)
Pt (0.761, 0.761, 0.761)


*B*
This record from the Alexandria database describes SrCePt2 after structural relaxation. The functional is PBE-GGA.

Output
- M_tot: 0.51 μB/cell
- Volume: 96.9 Å³/f.u.

a = 3.616 Å, b = 3.616 Å, c = 7.409 Å
α = 90.00°, β = 90.00°, γ = 90.00°
Atoms (fractional coordinates):
Sr (0.000, 0.000, 0.000)
Ce (0.000, 0.000, 0.500)
Pt (0.500, 0.500, 0.290)
Pt (0.500, 0.500, 0.710)


*C*
This record from the Alexandria database describes SrCePt2 after structural relaxation. The functional is PBE-GGA.

Output
- M_tot: 1.05 μB/cell
- Volume: 94.7 Å³/f.u.

a = 5.116 Å, b = 5.116 Å, c = 5.116 Å
α = 60.00°, β = 60.00°, γ = 60.00°
Atoms (fractional coordinates):
Sr (0.000, 0.000, 0.000)
Ce (0.500, 0.500, 0.500)
Pt (0.250, 0.250, 0.250)
Pt (0.750, 0.750, 0.750)


*D*
This record from the Alexandria database describes SrCePt2 after structural relaxation. The functional is PBE-GGA.

Output
- M_tot: 0.23 μB/cell
- Volume: 108.0 Å³/f.u.

a = 7.831 Å, b = 7.831 Å, c = 7.831 Å
α = 30.26°, β = 30.26°, γ = 30.26°
Atoms (fractional coordinates):
Sr (0.000, 0.000, 0.000)
Ce (0.829, 0.829, 0.829)
Pt (0.236, 0.236, 0.236)
Pt (0.424, 0.424, 0.424)


Stability, highest: *B*


*A*
This record from the Alexandria database describes Tb3CePt8 after structural relaxation. The functional is PBE-GGA.

Output
- M_tot: 0.69 μB/cell
- Volume: 231.5 Å³/f.u.

a = 5.467 Å, b = 5.467 Å, c = 8.942 Å
α = 90.00°, β = 90.00°, γ = 120.00°
Atoms (fractional coordinates):
Tb (0.000, 0.000, 0.000)
Tb (0.000, 0.000, 0.367)
Tb (0.333, 0.667, 0.874)
Ce (0.333, 0.667, 0.500)
Pt (0.004, 0.502, 0.185)
Pt (0.329, 0.164, 0.686)
Pt (0.498, 0.502, 0.185)
Pt (0.498, 0.996, 0.185)
Pt (0.667, 0.333, 0.435)
Pt (0.667, 0.333, 0.934)
Pt (0.836, 0.164, 0.686)
Pt (0.836, 0.671, 0.686)


*B*
This record from the Alexandria database describes Tb3CePt8 after structural relaxation. The functional is PBE-GGA.

Output
- M_tot: 0.66 μB/cell
- Volume: 229.9 Å³/f.u.

a = 9.453 Å, b = 9.453 Å, c = 9.453 Å
α = 33.56°, β = 33.56°, γ = 33.56°
Atoms (fractional coordinates):
Tb (0.000, 0.000, 0.000)
Tb (0.124, 0.124, 0.124)
Tb (0.626, 0.626, 0.626)
Ce (0.500, 0.500, 0.500)
Pt (0.061, 0.562, 0.562)
Pt (0.063, 0.063, 0.563)
Pt (0.063, 0.563, 0.063)
Pt (0.312, 0.312, 0.312)
Pt (0.562, 0.061, 0.562)
Pt (0.562, 0.562, 0.061)
Pt (0.563, 0.063, 0.063)
Pt (0.812, 0.812, 0.812)


Stability, highest: *B*


*A*
This record from the Alexandria database describes TbCe2Pt2 after structural relaxation. The functional is PBE-GGA.

Output
- M_tot: 0.00 μB/cell
- Volume: 119.9 Å³/f.u.

a = 4.167 Å, b = 4.167 Å, c = 7.368 Å
α = 104.29°, β = 104.29°, γ = 90.21°
Atoms (fractional coordinates):
Tb (0.000, 0.000, 0.000)
Ce (0.242, 0.758, 0.500)
Ce (0.758, 0.242, 0.500)
Pt (0.396, 0.396, 0.811)
Pt (0.604, 0.604, 0.189)


*B*
This record from the Alexandria database describes TbCe2Pt2 after structural relaxation. The functional is PBE-GGA.

Output
- M_tot: 2.04 μB/cell
- Volume: 122.8 Å³/f.u.

a = 7.934 Å, b = 7.934 Å, c = 3.901 Å
α = 90.00°, β = 90.00°, γ = 90.00°
Atoms (fractional coordinates):
Tb (0.000, 0.000, 0.000)
Tb (0.500, 0.500, 0.000)
Ce (0.165, 0.335, 0.500)
Ce (0.335, 0.835, 0.500)
Ce (0.665, 0.165, 0.500)
Ce (0.835, 0.665, 0.500)
Pt (0.136, 0.636, 0.000)
Pt (0.364, 0.136, 0.000)
Pt (0.636, 0.864, 0.000)
Pt (0.864, 0.364, 0.000)


Stability, highest: *B*


*A*
This record from the Alexandria database describes TbCePt after structural relaxation. The functional is PBE-GGA.

Output
- M_tot: 1.69 μB/cell
- Volume: 78.6 Å³/f.u.

a = 5.651 Å, b = 4.591 Å, c = 6.305 Å
α = 90.00°, β = 106.03°, γ = 90.00°
Atoms (fractional coordinates):
Tb (0.081, 0.250, 0.292)
Tb (0.919, 0.750, 0.708)
Ce (0.479, 0.250, 0.853)
Ce (0.521, 0.750, 0.147)
Pt (0.352, 0.750, 0.561)
Pt (0.648, 0.250, 0.439)


*B*
This record from the Alexandria database describes TbCePt after structural relaxation. The functional is PBE-GGA.

Output
- M_tot: 0.60 μB/cell
- Volume: 75.5 Å³/f.u.

a = 4.686 Å, b = 4.686 Å, c = 3.971 Å
α = 90.00°, β = 90.00°, γ = 120.00°
Atoms (fractional coordinates):
Tb (0.000, 0.000, 0.000)
Ce (0.333, 0.667, 0.435)
Pt (0.667, 0.333, 0.746)


*C*
This record from the Alexandria database describes TbCePt after structural relaxation. The functional is PBE-GGA.

Output
- M_tot: 0.96 μB/cell
- Volume: 84.5 Å³/f.u.

a = 4.925 Å, b = 4.925 Å, c = 4.925 Å
α = 60.00°, β = 60.00°, γ = 60.00°
Atoms (fractional coordinates):
Tb (0.000, 0.000, 0.000)
Ce (0.500, 0.500, 0.500)
Pt (0.250, 0.250, 0.250)


Stability, highest: *A*


*A*
This record from the Alexandria database describes Ce4TcPt after structural relaxation. The functional is PBE-GGA.

Output
- M_tot: 2.18 μB/cell
- Volume: 157.6 Å³/f.u.

a = 10.406 Å, b = 10.406 Å, c = 5.906 Å
α = 90.00°, β = 90.00°, γ = 150.46°
Atoms (fractional coordinates):
Ce (0.065, 0.935, 0.500)
Ce (0.209, 0.791, 0.727)
Ce (0.227, 0.773, 0.275)
Ce (0.383, 0.617, 0.596)
Ce (0.617, 0.383, 0.096)
Ce (0.773, 0.227, 0.775)
Ce (0.791, 0.209, 0.227)
Ce (0.935, 0.065, 0.000)
Tc (0.345, 0.655, 0.972)
Tc (0.655, 0.345, 0.472)
Pt (0.078, 0.922, 0.996)
Pt (0.922, 0.078, 0.496)


*B*
This record from the Alexandria database describes Ce4TcPt after structural relaxation. The functional is PBE-GGA.

Output
- M_tot: 2.77 μB/cell
- Volume: 147.1 Å³/f.u.

a = 7.333 Å, b = 7.333 Å, c = 6.044 Å
α = 97.91°, β = 97.91°, γ = 111.01°
Atoms (fractional coordinates):
Ce (0.065, 0.706, 0.956)
Ce (0.218, 0.393, 0.596)
Ce (0.294, 0.935, 0.544)
Ce (0.393, 0.218, 0.096)
Ce (0.607, 0.782, 0.904)
Ce (0.706, 0.065, 0.456)
Ce (0.782, 0.607, 0.404)
Ce (0.935, 0.294, 0.044)
Tc (0.005, 0.995, 0.250)
Tc (0.995, 0.005, 0.750)
Pt (0.379, 0.621, 0.250)
Pt (0.621, 0.379, 0.750)


Stability, highest: *B*


*A*
This record from the Alexandria database describes Ce2TePt after structural relaxation. The functional is PBE-GGA.

Output
- M_tot: 1.97 μB/cell
- Volume: 117.2 Å³/f.u.

a = 8.053 Å, b = 8.053 Å, c = 8.053 Å
α = 30.22°, β = 30.22°, γ = 30.22°
Atoms (fractional coordinates):
Ce (0.000, 0.000, 0.000)
Ce (0.193, 0.193, 0.193)
Te (0.429, 0.429, 0.429)
Pt (0.597, 0.597, 0.597)


*B*
This record from the Alexandria database describes Ce2TePt after structural relaxation. The functional is PBE-GGA.

Output
- M_tot: 4.61 μB/cell
- Volume: 116.0 Å³/f.u.

a = 4.167 Å, b = 6.238 Å, c = 8.925 Å
α = 90.00°, β = 90.00°, γ = 90.00°
Atoms (fractional coordinates):
Ce (0.250, 0.250, 0.101)
Ce (0.250, 0.250, 0.660)
Ce (0.750, 0.750, 0.340)
Ce (0.750, 0.750, 0.899)
Te (0.250, 0.750, 0.614)
Te (0.750, 0.250, 0.386)
Pt (0.250, 0.750, 0.121)
Pt (0.750, 0.250, 0.879)


Stability, highest: *B*


*A*
This record from the Alexandria database describes Ce2TePt after structural relaxation. The functional is PBE-GGA.

Output
- M_tot: 2.44 μB/cell
- Volume: 102.3 Å³/f.u.

a = 3.728 Å, b = 3.728 Å, c = 7.361 Å
α = 90.00°, β = 90.00°, γ = 90.00°
Atoms (fractional coordinates):
Ce (0.000, 0.000, 0.226)
Ce (0.000, 0.000, 0.774)
Te (0.500, 0.500, 0.500)
Pt (0.500, 0.500, 0.000)


*B*
This record from the Alexandria database describes Ce2TePt after structural relaxation. The functional is PBE-GGA.

Output
- M_tot: 1.91 μB/cell
- Volume: 115.7 Å³/f.u.

a = 7.911 Å, b = 7.911 Å, c = 7.911 Å
α = 30.89°, β = 30.89°, γ = 30.89°
Atoms (fractional coordinates):
Ce (0.238, 0.238, 0.238)
Ce (0.762, 0.762, 0.762)
Te (0.000, 0.000, 0.000)
Pt (0.500, 0.500, 0.500)


Stability, highest: *B*


*A*
This record from the Alexandria database describes CeTePt after structural relaxation. The functional is PBE-GGA.

Output
- M_tot: 0.18 μB/cell
- Volume: 75.8 Å³/f.u.

a = 4.435 Å, b = 4.435 Å, c = 4.450 Å
α = 90.00°, β = 90.00°, γ = 120.00°
Atoms (fractional coordinates):
Ce (0.000, 0.000, 0.000)
Te (0.667, 0.333, 0.457)
Pt (0.333, 0.667, 0.697)


*B*
This record from the Alexandria database describes CeTePt after structural relaxation. The functional is PBE-GGA.

Output
- M_tot: 1.08 μB/cell
- Volume: 80.5 Å³/f.u.

a = 10.087 Å, b = 10.087 Å, c = 4.163 Å
α = 90.00°, β = 90.00°, γ = 157.67°
Atoms (fractional coordinates):
Ce (0.097, 0.903, 0.750)
Ce (0.903, 0.097, 0.250)
Te (0.320, 0.680, 0.750)
Te (0.680, 0.320, 0.250)
Pt (0.457, 0.543, 0.750)
Pt (0.543, 0.457, 0.250)


Stability, highest: *B*


*A*
This record from the Alexandria database describes Ce2ThPt after structural relaxation. The functional is PBE-GGA.

Output
- M_tot: 0.91 μB/cell
- Volume: 114.9 Å³/f.u.

a = 9.719 Å, b = 9.719 Å, c = 9.719 Å
α = 22.19°, β = 22.19°, γ = 22.19°
Atoms (fractional coordinates):
Ce (0.000, 0.000, 0.000)
Ce (0.200, 0.200, 0.200)
Th (0.432, 0.432, 0.432)
Pt (0.601, 0.601, 0.601)


*B*
This record from the Alexandria database describes Ce2ThPt after structural relaxation. The functional is PBE-GGA.

Output
- M_tot: 1.80 μB/cell
- Volume: 116.4 Å³/f.u.

a = 10.758 Å, b = 10.758 Å, c = 10.758 Å
α = 19.09°, β = 19.09°, γ = 19.09°
Atoms (fractional coordinates):
Ce (0.104, 0.104, 0.104)
Ce (0.896, 0.896, 0.896)
Th (0.000, 0.000, 0.000)
Pt (0.500, 0.500, 0.500)


*C*
This record from the Alexandria database describes Ce2ThPt after structural relaxation. The functional is PBE-GGA.

Output
- M_tot: 0.00 μB/cell
- Volume: 106.6 Å³/f.u.

a = 6.942 Å, b = 10.224 Å, c = 6.010 Å
α = 90.00°, β = 90.00°, γ = 90.00°
Atoms (fractional coordinates):
Ce (0.176, 0.044, 0.120)
Ce (0.176, 0.456, 0.120)
Ce (0.324, 0.544, 0.620)
Ce (0.324, 0.956, 0.620)
Ce (0.676, 0.044, 0.380)
Ce (0.676, 0.456, 0.380)
Ce (0.824, 0.544, 0.880)
Ce (0.824, 0.956, 0.880)
Th (0.037, 0.250, 0.639)
Th (0.463, 0.750, 0.139)
Th (0.537, 0.250, 0.861)
Th (0.963, 0.750, 0.361)
Pt (0.112, 0.750, 0.871)
Pt (0.388, 0.250, 0.371)
Pt (0.612, 0.750, 0.629)
Pt (0.888, 0.250, 0.129)


Stability, highest: *C*